1.
The following is a PBE-GGA calculation of crystalline BeCuRe at its relaxed geometry, from the Alexandria database.

Cell lengths 5.3188, 5.3188, 5.3188 Å; angles 90.00, 90.00, 90.00 degrees
With the nearest neighbours (Å) after each atom.
Space group F-43m (No. 216)
Inequivalent atoms, fractional coordinates:
Be 0.0000 0.0000 0.0000 (multiplicity 4)  4 Re 2.30, 4 Cu 2.30
Cu 0.2500 0.2500 0.7500 (multiplicity 4)  4 Be 2.30
Re 0.2500 0.2500 0.2500 (multiplicity 4)  4 Be 2.30

Properties
The value obtained for the distance to the lowest polymorph of the same formula is 532.4 meV/atom.

2.
The following is a PBE-GGA calculation of crystalline BeCuRe2 at its relaxed geometry, from the Alexandria database.

Cell lengths 2.7348, 3.9021, 4.9532 Å; angles 90.00, 104.39, 90.00 degrees
With the nearest neighbours (Å) after each atom.
Space group Pm (No. 6)
Inequivalent atoms, fractional coordinates:
Be 0.0000 0.0000 0.0000 (multiplicity 1)  2 Cu 2.22, 1 Re 2.46
Cu 0.0780 0.5000 0.2199 (multiplicity 1)  2 Be 2.22
Re 0.3890 0.5000 0.7528 (multiplicity 1)  3 Cu 2.56-2.66, 6 Re 2.60-2.81, 4 Be 2.66
Re 0.6939 0.0000 0.4884 (multiplicity 1)  3 Be 2.46-2.75, 4 Re 2.60-2.73, 4 Cu 2.70-2.72

3.
The following is a PBE-GGA calculation of crystalline BeCuRe2 at its relaxed geometry, from the Alexandria database.

Cell lengths 3.0112, 4.3248, 8.0659 Å; angles 90.00, 90.00, 90.00 degrees
With the nearest neighbours (Å) after each atom.
Space group Cmm2 (No. 35)
Inequivalent atoms, fractional coordinates:
Be 0.0000 0.0000 0.0000 (multiplicity 2)  2 Cu 2.29, 2 Re 2.44
Cu 0.0000 0.5000 0.7869 (multiplicity 2)  2 Be 2.29
Re 0.0000 0.0000 0.5118 (multiplicity 2)  6 Re 2.63-2.67, 2 Cu 2.68
Re 0.0000 0.5000 0.2378 (multiplicity 2)  2 Be 2.44, 6 Re 2.63-2.67

4.
The following is a PBE-GGA calculation of crystalline BeCuRe at its relaxed geometry, from the Alexandria database.

Cell lengths 3.9376, 3.9376, 2.6502 Å; angles 90.00, 90.00, 120.00 degrees
With the nearest neighbours (Å) after each atom.
Space group P-6m2 (No. 187)
Inequivalent atoms, fractional coordinates:
Be 0.0000 0.0000 0.0000 (multiplicity 1)  3 Cu 2.27
Cu 0.6667 0.3333 0.0000 (multiplicity 1)  3 Be 2.27
Re 0.3333 0.6667 0.5000 (multiplicity 1)  6 Be 2.63, 6 Cu 2.63, 2 Re 2.65

Properties
The value obtained for the distance to the lowest polymorph of the same formula is 143.1 meV/atom.

5.
The following is a PBE-GGA calculation of crystalline BeCuRe2 at its relaxed geometry, from the Alexandria database.

Cell lengths 2.5839, 4.0543, 5.1643 Å; angles 90.00, 104.34, 90.00 degrees
With the nearest neighbours (Å) after each atom.
Space group P2/m (No. 10)
Inequivalent atoms, fractional coordinates:
Be 0.0000 0.0000 0.0000 (multiplicity 1)  4 Re 2.54, 2 Be 2.58, 2 Cu 2.59
Cu 0.5000 0.0000 0.5000 (multiplicity 1)  2 Cu 2.58, 2 Be 2.59, 8 Re 2.61-2.89
Re 0.2448 0.5000 0.7601 (multiplicity 2)  4 Re 2.50-2.67, 2 Be 2.54, 2 Cu 2.61

6.
The following is a PBE-GGA calculation of crystalline Be2CuRe2 at its relaxed geometry, from the Alexandria database.

Cell lengths 5.8272, 5.8272, 3.2764 Å; angles 90.00, 90.00, 90.00 degrees
With the nearest neighbours (Å) after each atom.
Space group P4/mbm (No. 127)
Inequivalent atoms, fractional coordinates:
Be 0.1214 0.3786 0.0000 (multiplicity 4)  1 Be 2.00
Cu 0.0000 0.0000 0.0000 (multiplicity 2)  4 Be 2.32
Re 0.1768 0.6768 0.5000 (multiplicity 4)  6 Be 2.33-2.41

Properties
The value obtained for the distance to the lowest polymorph of the same formula is 0.0 meV/atom.

7.
The following is a PBE-GGA calculation of crystalline BeCuRe at its relaxed geometry, from the Alexandria database.

Cell lengths 2.6875, 2.6875, 12.1220 Å; angles 90.00, 90.00, 120.00 degrees
With the nearest neighbours (Å) after each atom.
Space group P-3m1 (No. 164)
Inequivalent atoms, fractional coordinates:
Be 0.3333 0.6667 0.2655 (multiplicity 2)  3 Cu 2.37, 3 Re 2.53
Cu 0.3333 0.6667 0.5869 (multiplicity 2)  3 Be 2.37, 3 Cu 2.62
Re 0.0000 0.0000 0.1003 (multiplicity 2)  7 Re 2.43-2.69, 3 Be 2.53

Properties
The value obtained for the distance to the lowest polymorph of the same formula is 155.8 meV/atom.

8.
The following is a PBE-GGA calculation of crystalline Be2CuRe at its relaxed geometry, from the Alexandria database.

Cell lengths 8.0552, 2.5459, 4.6256 Å; angles 90.00, 103.93, 90.00 degrees
With the nearest neighbours (Å) after each atom.
Space group C2/m (No. 12)
Inequivalent atoms, fractional coordinates:
Be 0.2398 0.0000 0.2723 (multiplicity 4)  2 Cu 2.40, 3 Re 2.41-2.46, 4 Be 2.43-2.55
Cu 0.0000 0.5000 0.0000 (multiplicity 2)  4 Be 2.40, 2 Cu 2.55, 4 Re 2.64
Re 0.0000 0.0000 0.5000 (multiplicity 2)  6 Be 2.41-2.46, 2 Re 2.55, 4 Cu 2.64

Properties
The value obtained for the distance to the lowest polymorph of the same formula is 210.6 meV/atom.

9.
The following is a PBE-GGA calculation of crystalline Be2CuRe at its relaxed geometry, from the Alexandria database.

Cell lengths 5.6652, 5.6652, 5.6652 Å; angles 90.00, 90.00, 90.00 degrees
With the nearest neighbours (Å) after each atom.
Space group F-43m (No. 216)
Inequivalent atoms, fractional coordinates:
Be 0.0000 0.0000 0.0000 (multiplicity 4)  4 Be 2.45, 4 Cu 2.45
Be 0.2500 0.2500 0.2500 (multiplicity 4)  4 Re 2.45, 4 Be 2.45
Cu 0.2500 0.2500 0.7500 (multiplicity 4)  4 Re 2.45, 4 Be 2.45
Re 0.0000 0.0000 0.5000 (multiplicity 4)  4 Cu 2.45, 4 Be 2.45

Properties
The value obtained for the distance to the lowest polymorph of the same formula is 455.9 meV/atom.

10.
The following is a PBE-GGA calculation of crystalline BeCu2Re at its relaxed geometry, from the Alexandria database.

Cell lengths 2.5554, 3.8226, 4.9692 Å; angles 90.00, 90.00, 90.00 degrees
With the nearest neighbours (Å) after each atom.
Space group Pmmm (No. 47)
Inequivalent atoms, fractional coordinates:
Be 0.0000 0.0000 0.0000 (multiplicity 1)  2 Re 2.48, 2 Be 2.56, 8 Cu 2.59
Cu 0.5000 0.5000 0.2413 (multiplicity 2)  4 Cu 2.40-2.57, 4 Be 2.59, 4 Re 2.63
Re 0.0000 0.0000 0.5000 (multiplicity 1)  2 Be 2.48, 2 Re 2.56, 8 Cu 2.63

11.
The following is a PBE-GGA calculation of crystalline BeCuRe at its relaxed geometry, from the Alexandria database.

Cell lengths 2.6680, 2.6680, 9.7956 Å; angles 90.00, 90.00, 90.00 degrees
With the nearest neighbours (Å) after each atom.
Space group I4mm (No. 107)
Inequivalent atoms, fractional coordinates:
Be 0.0000 0.0000 0.0000 (multiplicity 2)  4 Cu 2.31, 4 Re 2.49
Cu 0.0000 0.0000 0.6363 (multiplicity 2)  4 Be 2.31
Re 0.0000 0.0000 0.3334 (multiplicity 2)  4 Be 2.49, 4 Re 2.67, 4 Cu 2.70

Properties
The value obtained for the distance to the lowest polymorph of the same formula is 0.0 meV/atom.

12.
The following is a PBE-GGA calculation of crystalline Be2CuRe2 at its relaxed geometry, from the Alexandria database.

Cell lengths 6.7182, 6.7182, 2.8286 Å; angles 90.00, 90.00, 90.00 degrees
With the nearest neighbours (Å) after each atom.
Space group P4/mbm (No. 127)
Inequivalent atoms, fractional coordinates:
Be 0.1719 0.3281 0.0000 (multiplicity 4)  6 Re 2.39-2.46
Cu 0.0000 0.0000 0.5000 (multiplicity 2)  4 Re 2.66, 2 Cu 2.83, 8 Be 2.86
Re 0.1247 0.6247 0.5000 (multiplicity 4)  1 Re 2.37, 6 Be 2.39-2.46

Properties
The value obtained for the distance to the lowest polymorph of the same formula is 393.9 meV/atom.

13.
The following is a PBE-GGA calculation of crystalline BeCuRe at its relaxed geometry, from the Alexandria database.

Cell lengths 5.6269, 5.6269, 5.6269 Å; angles 90.00, 90.00, 90.00 degrees
With the nearest neighbours (Å) after each atom.
Space group F-43m (No. 216)
Inequivalent atoms, fractional coordinates:
Be 0.0000 0.0000 0.0000 (multiplicity 4)  4 Re 2.44
Cu 0.0000 0.0000 0.5000 (multiplicity 4)  4 Re 2.44
Re 0.2500 0.2500 0.7500 (multiplicity 4)  4 Be 2.44, 4 Cu 2.44

Properties
The value obtained for the distance to the lowest polymorph of the same formula is 1052.4 meV/atom.

14.
The following is a PBE-GGA calculation of crystalline BeCu2Re at its relaxed geometry, from the Alexandria database.

Cell lengths 2.6429, 4.1570, 4.3868 Å; angles 90.00, 90.00, 90.00 degrees
With the nearest neighbours (Å) after each atom.
Space group Pmmm (No. 47)
Inequivalent atoms, fractional coordinates:
Be 0.0000 0.0000 0.0000 (multiplicity 1)  4 Re 2.46, 4 Cu 2.56, 2 Be 2.64
Cu 0.0000 0.5000 0.5000 (multiplicity 1)  6 Cu 2.46-2.64, 4 Re 2.56
Cu 0.5000 0.0000 0.5000 (multiplicity 1)  6 Cu 2.46-2.64, 4 Be 2.56
Re 0.5000 0.5000 0.0000 (multiplicity 1)  4 Be 2.46, 4 Cu 2.56, 2 Re 2.64

15.
The following is a PBE-GGA calculation of crystalline Be2CuRe at its relaxed geometry, from the Alexandria database.

Cell lengths 3.2852, 3.2852, 8.0842 Å; angles 90.00, 90.00, 90.00 degrees
With the nearest neighbours (Å) after each atom.
Space group I-4m2 (No. 119)
Inequivalent atoms, fractional coordinates:
Be 0.0000 0.0000 0.0000 (multiplicity 2)  4 Re 2.32
Be 0.0000 0.5000 0.2500 (multiplicity 2)  4 Cu 2.32
Cu 0.0000 0.5000 0.7500 (multiplicity 2)  4 Be 2.32
Re 0.0000 0.0000 0.5000 (multiplicity 2)  4 Be 2.32

Properties
The value obtained for the distance to the lowest polymorph of the same formula is 191.0 meV/atom.

Number 1: DFT formation energy 2.0 eV per formula unit, total magnetization 0.000 μB/atom. Number 2: DFT formation energy 0.5 eV per formula unit, total magnetization 0.000 μB/atom. Number 3: DFT formation energy 1.0 eV per formula unit, total magnetization 0.000 μB/atom. Number 4: DFT formation energy 0.8 eV per formula unit, total magnetization 0.000 μB/atom. Number 5: DFT formation energy 1.1 eV per formula unit, total magnetization 0.000 μB/atom. Number 6: DFT formation energy 0.0 eV per formula unit, total magnetization 0.000 μB/atom. Number 7: DFT formation energy 0.8 eV per formula unit, total magnetization 0.000 μB/atom. Number 8: DFT formation energy 0.6 eV per formula unit, total magnetization 0.000 μB/atom. Number 9: DFT formation energy 1.6 eV per formula unit, total magnetization 0.343 μB/atom. Number 10: DFT formation energy 1.1 eV per formula unit, total magnetization 0.000 μB/atom. Number 11: DFT formation energy 0.4 eV per formula unit, total magnetization 0.000 μB/atom. Number 12: DFT formation energy 2.0 eV per formula unit, total magnetization 0.000 μB/atom. Number 13: DFT formation energy 3.5 eV per formula unit, total magnetization 0.555 μB/atom. Number 14: DFT formation energy 0.9 eV per formula unit, total magnetization 0.000 μB/atom. Number 15: DFT formation energy 0.5 eV per formula unit, total magnetization 0.000 μB/atom.